# 1
The following is a DFT calculation (PBE-GGA) of a relaxed BaSrSnO3 crystal.

mass density	5.12	Mg/m³
formation energy without anion corrections	-2137	meV per atom
V	21.178	A^3/atom
crystal system	monoclinic

Geometry as CIF:
```
data_BaSrSnO3
_chemical_formula_sum 'Ba2 Sr2 Sn2 O6'
_cell_length_a 7.2200
_cell_length_b 3.6599
_cell_length_c 9.7458
_cell_angle_alpha 90.00
_cell_angle_beta 99.30
_cell_angle_gamma 90.00
_symmetry_space_group_name_H-M 'P 1 21/m 1'
_symmetry_Int_Tables_number 11
loop_
_symmetry_equiv_pos_as_xyz
'x,y,z'
'-x,-y,-z'
'-x,y+1/2,-z'
'x,-y+1/2,z'
loop_
_atom_site_label
_atom_site_fract_x
_atom_site_fract_y
_atom_site_fract_z
_atom_site_occupancy
Ba1 0.1026 0.2500 0.2684 1
Sr1 0.3972 0.7500 0.6342 1
Sn1 0.2932 0.2500 0.9349 1
O1 0.1858 0.2500 0.7100 1
O2 0.3390 0.7500 0.3752 1
O3 0.4415 0.7500 0.8991 1
```

# 2
The following is a DFT calculation (PBE-GGA) of a relaxed CuSn4Ir crystal.

mass density	8.98	Mg/m³
energy above the lowest structure with this stoichiometry	0.000	eV/atom
V	22.513	A^3/atom
formation energy from the elements	-0.128	eV per atom
crystal system	orthorhombic

Geometry as CIF:
```
data_CuSn4Ir
_chemical_formula_sum 'Cu8 Sn32 Ir8'
_cell_length_a 9.1120
_cell_length_b 9.1317
_cell_length_c 12.9873
_cell_angle_alpha 90.00
_cell_angle_beta 90.00
_cell_angle_gamma 90.00
_symmetry_space_group_name_H-M 'F d d d'
_symmetry_Int_Tables_number 70
loop_
_symmetry_equiv_pos_as_xyz
'x,y,z'
'-x,-y,-z'
'-x+1/4,-y+1/4,z'
'x+1/4,y+1/4,-z'
'x,-y+1/4,-z+1/4'
'-x,y+1/4,z+1/4'
'-x+1/4,y,-z+1/4'
'x+1/4,-y,z+1/4'
'x,y+1/2,z+1/2'
'-x,-y+1/2,-z+1/2'
'-x+1/4,-y+3/4,z+1/2'
'x+1/4,y+3/4,-z+1/2'
'x,-y+3/4,-z+3/4'
'-x,y+3/4,z+3/4'
'-x+1/4,y+1/2,-z+3/4'
'x+1/4,-y+1/2,z+3/4'
'x+1/2,y,z+1/2'
'-x+1/2,-y,-z+1/2'
'-x+3/4,-y+1/4,z+1/2'
'x+3/4,y+1/4,-z+1/2'
'x+1/2,-y+1/4,-z+3/4'
'-x+1/2,y+1/4,z+3/4'
'-x+3/4,y,-z+3/4'
'x+3/4,-y,z+3/4'
'x+1/2,y+1/2,z'
'-x+1/2,-y+1/2,-z'
'-x+3/4,-y+3/4,z'
'x+3/4,y+3/4,-z'
'x+1/2,-y+3/4,-z+1/4'
'-x+1/2,y+3/4,z+1/4'
'-x+3/4,y+1/2,-z+1/4'
'x+3/4,-y+1/2,z+1/4'
loop_
_atom_site_label
_atom_site_fract_x
_atom_site_fract_y
_atom_site_fract_z
_atom_site_occupancy
Cu1 0.1250 0.1250 0.1250 1
Sn1 0.1248 0.3749 0.0002 1
Ir1 0.1250 0.1250 0.6250 1
```

# 3
The following is a DFT calculation (PBE-GGA) of a relaxed NbGeSb2 crystal.

mass density	7.21	Mg/m³
formation energy without anion corrections	561	meV per atom
V	23.544	A^3/atom
crystal system	trigonal

Geometry as CIF:
```
data_NbGeSb2
_chemical_formula_sum 'Nb3 Ge3 Sb6'
_cell_length_a 3.1188
_cell_length_b 3.1188
_cell_length_c 33.5396
_cell_angle_alpha 90.00
_cell_angle_beta 90.00
_cell_angle_gamma 120.00
_symmetry_space_group_name_H-M 'R -3 m'
_symmetry_Int_Tables_number 166
_symmetry_space_group_name_Hall '-R 3 2"'
loop_
_atom_site_label
_atom_site_fract_x
_atom_site_fract_y
_atom_site_fract_z
_atom_site_occupancy
Nb1 0.0000 0.0000 0.0000 1
Ge1 0.0000 0.0000 0.5000 1
Sb1 0.0000 0.0000 0.0857 1
```

# 4
The following is a DFT calculation (PBE-GGA) of a relaxed Pm2NdY2Mg2 crystal.

mass density	5.07	Mg/m³
V	30.908	A^3/atom
formation energy from the elements	-0.038	eV per atom
crystal system	trigonal

Geometry as CIF:
```
data_Pm2NdY2Mg2
_chemical_formula_sum 'Pm6 Nd3 Y6 Mg6'
_cell_length_a 5.5375
_cell_length_b 5.5375
_cell_length_c 24.4416
_cell_angle_alpha 90.00
_cell_angle_beta 90.00
_cell_angle_gamma 120.00
_symmetry_space_group_name_H-M 'R -3 m'
_symmetry_Int_Tables_number 166
_symmetry_space_group_name_Hall '-R 3 2"'
loop_
_atom_site_label
_atom_site_fract_x
_atom_site_fract_y
_atom_site_fract_z
_atom_site_occupancy
Pm1 0.0000 0.0000 0.1570 1
Nd1 0.0000 0.0000 0.0000 1
Y1 0.0000 0.0000 0.4270 1
Mg1 0.0000 0.0000 0.2902 1
```

# 5
The following is a DFT calculation (PBE-GGA) of a relaxed PmDyCdSi crystal.

mass density	7.63	Mg/m³
formation energy without anion corrections	-387	meV per atom
V	24.371	A^3/atom
crystal system	cubic

Geometry as CIF:
```
data_PmDyCdSi
_chemical_formula_sum 'Pm4 Dy4 Cd4 Si4'
_cell_length_a 7.3057
_cell_length_b 7.3057
_cell_length_c 7.3057
_cell_angle_alpha 90.00
_cell_angle_beta 90.00
_cell_angle_gamma 90.00
_symmetry_space_group_name_H-M 'F -4 3 m'
_symmetry_Int_Tables_number 216
_symmetry_space_group_name_Hall 'F -4 2 3'
loop_
_atom_site_label
_atom_site_fract_x
_atom_site_fract_y
_atom_site_fract_z
_atom_site_occupancy
Pm1 0.0000 0.0000 0.0000 1
Dy1 0.0000 0.0000 0.5000 1
Cd1 0.2500 0.2500 0.2500 1
Si1 0.2500 0.2500 0.7500 1
```

# 6
The following is a DFT calculation (PBE-GGA) of a relaxed HfSe2BrCl crystal.

mass density	6.05	Mg/m³
energy above the lowest structure with this stoichiometry	1.231	eV/atom
formation energy without anion corrections	766	meV per atom
V	24.805	A^3/atom
crystal system	tetragonal

Geometry as CIF:
```
data_HfSe2BrCl
_chemical_formula_sum 'Hf1 Se2 Br1 Cl1'
_cell_length_a 5.0788
_cell_length_b 5.0788
_cell_length_c 4.8082
_cell_angle_alpha 90.00
_cell_angle_beta 90.00
_cell_angle_gamma 90.00
_symmetry_space_group_name_H-M 'P 4/m m m'
_symmetry_Int_Tables_number 123
_symmetry_space_group_name_Hall '-P 4 2'
loop_
_atom_site_label
_atom_site_fract_x
_atom_site_fract_y
_atom_site_fract_z
_atom_site_occupancy
Hf1 0.0000 0.0000 0.0000 1
Se1 0.0000 0.5000 0.5000 1
Br1 0.5000 0.5000 0.0000 1
Cl1 0.5000 0.5000 0.5000 1
```

What is the V in the fourth record?
30.908 A^3/atom

Look up the mass density of the sixth one.
6.05 Mg/m³

Which value of V does entry 2 give?
22.513 A^3/atom

Please write out number 2 again, unchanged.
The following is a DFT calculation (PBE-GGA) of a relaxed CuSn4Ir crystal.

mass density	8.98	Mg/m³
energy above the lowest structure with this stoichiometry	0.000	eV/atom
V	22.513	A^3/atom
formation energy from the elements	-0.128	eV per atom
crystal system	orthorhombic

Geometry as CIF:
```
data_CuSn4Ir
_chemical_formula_sum 'Cu8 Sn32 Ir8'
_cell_length_a 9.1120
_cell_length_b 9.1317
_cell_length_c 12.9873
_cell_angle_alpha 90.00
_cell_angle_beta 90.00
_cell_angle_gamma 90.00
_symmetry_space_group_name_H-M 'F d d d'
_symmetry_Int_Tables_number 70
loop_
_symmetry_equiv_pos_as_xyz
'x,y,z'
'-x,-y,-z'
'-x+1/4,-y+1/4,z'
'x+1/4,y+1/4,-z'
'x,-y+1/4,-z+1/4'
'-x,y+1/4,z+1/4'
'-x+1/4,y,-z+1/4'
'x+1/4,-y,z+1/4'
'x,y+1/2,z+1/2'
'-x,-y+1/2,-z+1/2'
'-x+1/4,-y+3/4,z+1/2'
'x+1/4,y+3/4,-z+1/2'
'x,-y+3/4,-z+3/4'
'-x,y+3/4,z+3/4'
'-x+1/4,y+1/2,-z+3/4'
'x+1/4,-y+1/2,z+3/4'
'x+1/2,y,z+1/2'
'-x+1/2,-y,-z+1/2'
'-x+3/4,-y+1/4,z+1/2'
'x+3/4,y+1/4,-z+1/2'
'x+1/2,-y+1/4,-z+3/4'
'-x+1/2,y+1/4,z+3/4'
'-x+3/4,y,-z+3/4'
'x+3/4,-y,z+3/4'
'x+1/2,y+1/2,z'
'-x+1/2,-y+1/2,-z'
'-x+3/4,-y+3/4,z'
'x+3/4,y+3/4,-z'
'x+1/2,-y+3/4,-z+1/4'
'-x+1/2,y+3/4,z+1/4'
'-x+3/4,y+1/2,-z+1/4'
'x+3/4,-y+1/2,z+1/4'
loop_
_atom_site_label
_atom_site_fract_x
_atom_site_fract_y
_atom_site_fract_z
_atom_site_occupancy
Cu1 0.1250 0.1250 0.1250 1
Sn1 0.1248 0.3749 0.0002 1
Ir1 0.1250 0.1250 0.6250 1
```